No. 1
This record from Alexandria via LeMat-Bulk describes a geometry-optimized LaCrFe structure. The functional is PBE.

Properties
Its calculated density is 7509 kg/m3. Its space group is No. 107. For the calculated total energy, the calculation gives -7.25 eV/atom. The value obtained for the formation enthalpy at 0 K is 419 meV per atom.

Unit cell a=6.1672 b=6.1672 c=3.0748 alpha=75.56 beta=75.56 gamma=28.87
Last column: nearest neighbours and their distance in Å.
Positions (direct):
Fe1 0.6254 0.6254 0.3746  4 Cr 2.37
La1 0.3310 0.3310 0.6690  4 La 3.07, 5 Fe 3.22-3.40, 5 Cr 3.28-3.32
Cr1 0.0436 0.0436 0.9564  4 Fe 2.37


No. 2
This record from Alexandria via LeMat-Bulk describes a geometry-optimized MnCu5Pt8 structure. The functional is PBE.

Properties
Its calculated density is 15165 kg/m3. Its space group is No. 82. For the calculated total energy, the calculation gives -5.52 eV/atom. The value obtained for the formation enthalpy at 0 K is 46 meV per atom.

Unit cell a=6.5030 b=6.5030 c=6.5030 alpha=109.41 beta=109.58 gamma=109.41
Last column: nearest neighbours and their distance in Å.
Positions (direct):
Pt1 0.6717 0.9001 0.8998  4 Pt 2.65-2.82, 1 Mn 2.65, 5 Cu 2.70-2.84
Pt2 0.3862 0.5773 0.1882  5 Cu 2.48-2.65, 1 Mn 2.49, 2 Pt 2.74-2.76
Cu1 0.7306 0.5810 0.5287  8 Pt 2.55-2.84, 2 Cu 2.68
Cu2 0.5000 0.0000 0.5000  4 Pt 2.48
Pt3 0.1911 0.8020 0.6138  5 Cu 2.48-2.65, 1 Mn 2.49, 2 Pt 2.74-2.76
Pt4 0.1002 0.7720 0.0004  4 Pt 2.65-2.82, 1 Mn 2.65, 5 Cu 2.70-2.84
Pt5 0.2284 0.2280 0.3283  4 Pt 2.65-2.82, 1 Mn 2.65, 5 Cu 2.70-2.84
Mn1 0.2500 0.5000 0.7500  8 Pt 2.49-2.65
Cu3 0.8504 0.7981 0.2694  8 Pt 2.55-2.84, 2 Cu 2.68
Pt6 0.9996 0.0999 0.7716  4 Pt 2.65-2.82, 1 Mn 2.65, 5 Cu 2.70-2.84
Cu4 0.9477 0.4190 0.1496  8 Pt 2.55-2.84, 2 Cu 2.68
Pt7 0.6109 0.4227 0.8089  5 Cu 2.48-2.65, 1 Mn 2.49, 2 Pt 2.74-2.76
Pt8 0.8118 0.1980 0.3891  5 Cu 2.48-2.65, 1 Mn 2.49, 2 Pt 2.74-2.76
Cu5 0.4713 0.2019 0.0523  8 Pt 2.55-2.84, 2 Cu 2.68


No. 3
This record from Alexandria via LeMat-Bulk describes a geometry-optimized Li2CoAs2 structure. The functional is PBE.

Properties
Its calculated density is 5020 kg/m3. Its space group is No. 127. For the calculated total energy, the calculation gives -4.07 eV/atom. The value obtained for the formation enthalpy at 0 K is -23 meV per atom.

Unit cell a=7.3978 b=7.3978 c=2.6918 alpha=90.00 beta=90.00 gamma=90.00
Last column: nearest neighbours and their distance in Å.
Positions (direct):
Co1 0.0000 0.0000 0.0000  2 Co 2.69, 4 Li 2.98, 8 As 3.01
Li1 0.1133 0.3867 0.0000  1 Li 2.37, 2 As 2.48
As1 0.6876 0.8124 0.5000  6 Li 2.48-2.66, 2 As 2.69
Co2 0.5000 0.5000 0.0000  2 Co 2.69, 4 Li 2.98, 8 As 3.01
As2 0.3124 0.1876 0.5000  6 Li 2.48-2.66, 2 As 2.69
As3 0.8124 0.3124 0.5000  6 Li 2.48-2.66, 2 As 2.69
Li2 0.6133 0.1133 0.0000  1 Li 2.37, 2 As 2.48
Li3 0.8867 0.6133 0.0000  1 Li 2.37, 2 As 2.48
As4 0.1876 0.6876 0.5000  6 Li 2.48-2.66, 2 As 2.69
Li4 0.3867 0.8867 0.0000  1 Li 2.37, 2 As 2.48


No. 4
This record from Alexandria via LeMat-Bulk describes a geometry-optimized Hf3ZnO structure. The functional is PBE.

Properties
Its calculated density is 11625 kg/m3. Its space group is No. 12. The uncorrected formation energy comes out at -1.0121 eV/atom. For the calculated total energy, the calculation gives -8.23 eV/atom.

Unit cell a=3.8329 b=5.8574 c=9.1412 alpha=66.77 beta=90.00 gamma=109.10
Last column: nearest neighbours and their distance in Å.
Positions (direct):
Zn1 0.6030 0.2061 0.3202  8 Hf 2.91-3.03, 1 Zn 3.12, 1 O 3.13
Hf1 0.8755 0.7510 0.4447  1 O 2.37
O1 0.0855 0.1710 0.8309  3 Hf 2.07-2.12
Hf2 0.3357 0.6714 0.2085  2 O 2.07
Hf3 0.6643 0.3286 0.7915  2 O 2.07
Hf4 0.1245 0.2490 0.5553  1 O 2.37
O2 0.9145 0.8290 0.1691  3 Hf 2.07-2.12
Hf5 0.1251 0.2502 0.0711  1 O 2.12
Zn2 0.3970 0.7939 0.6798  8 Hf 2.91-3.03, 1 Zn 3.12, 1 O 3.13
Hf6 0.8749 0.7498 0.9289  1 O 2.12


No. 5
This record from Alexandria via LeMat-Bulk describes a geometry-optimized LaRe2Se structure. The functional is PBE.

Properties
Its calculated density is 13170 kg/m3. Its space group is No. 166. The uncorrected formation energy comes out at 0.8193 eV/atom. For the calculated total energy, the calculation gives -7.51 eV/atom.

Unit cell a=9.5033 b=9.5033 c=9.5033 alpha=18.37 beta=18.37 gamma=18.37
Last column: nearest neighbours and their distance in Å.
Positions (direct):
Se1 0.2500 0.2500 0.2500  6 Re 2.59
Re1 0.9848 0.9848 0.9848  3 Se 2.59
La1 0.7500 0.7500 0.7500  6 La 3.03, 6 Re 3.27
Re2 0.5152 0.5152 0.5152  3 Se 2.59


No. 6
This record from Alexandria via LeMat-Bulk describes a geometry-optimized TiCI2 structure. The functional is PBE.

Properties
Its calculated density is 4208 kg/m3. Its space group is No. 122. The uncorrected formation energy comes out at 1.4935 eV/atom. For the calculated total energy, the calculation gives -3.56 eV/atom.

Unit cell a=6.7504 b=6.7504 c=7.2319 alpha=62.18 beta=62.18 gamma=90.00
Last column: nearest neighbours and their distance in Å.
Positions (direct):
C1 0.2500 0.7500 0.5000  4 I 2.76
I1 0.1206 0.6250 0.2500  2 Ti 2.73, 2 C 2.76
I2 0.6294 0.1250 0.2500  2 Ti 2.73, 2 C 2.76
I3 0.8750 0.8794 0.7500  2 Ti 2.73, 2 C 2.76
Ti1 0.7500 0.2500 0.5000  4 I 2.73
C2 0.5000 0.5000 0.0000  4 I 2.76
I4 0.3750 0.3706 0.7500  2 Ti 2.73, 2 C 2.76
Ti2 0.0000 0.0000 0.0000  4 I 2.73


No. 7
This record from Alexandria via LeMat-Bulk describes a geometry-optimized MgAg8Au6 structure. The functional is PBE.

Properties
Its calculated density is 11587 kg/m3. Its space group is No. 148. For the calculated total energy, the calculation gives -2.95 eV/atom. The value obtained for the formation enthalpy at 0 K is -14 meV per atom.

Unit cell a=7.7824 b=7.7824 c=7.2212 alpha=57.39 beta=57.39 gamma=60.00
Last column: nearest neighbours and their distance in Å.
Positions (direct):
Ag1 0.8182 0.1425 0.6116  4 Au 2.80-3.14, 5 Ag 2.86-3.07
Au1 0.6852 0.3696 0.8858  1 Mg 2.74, 3 Au 2.79-2.96, 4 Ag 2.80-2.87
Ag2 0.5723 0.1818 0.3884  4 Au 2.80-3.14, 5 Ag 2.86-3.07
Au2 0.3696 0.0594 0.8858  1 Mg 2.74, 3 Au 2.79-2.96, 4 Ag 2.80-2.87
Au3 0.0594 0.6852 0.8858  1 Mg 2.74, 3 Au 2.79-2.96, 4 Ag 2.80-2.87
Mg1 0.0000 0.0000 0.0000  6 Au 2.74
Au4 0.3148 0.6304 0.1142  1 Mg 2.74, 3 Au 2.79-2.96, 4 Ag 2.80-2.87
Ag3 0.4277 0.8182 0.6116  4 Au 2.80-3.14, 5 Ag 2.86-3.07
Au5 0.9406 0.3148 0.1142  1 Mg 2.74, 3 Au 2.79-2.96, 4 Ag 2.80-2.87
Ag4 0.1818 0.8575 0.3884  4 Au 2.80-3.14, 5 Ag 2.86-3.07
Ag5 0.7560 0.7560 0.7320  3 Au 2.82, 6 Ag 2.87-3.07
Ag6 0.8575 0.5723 0.3884  4 Au 2.80-3.14, 5 Ag 2.86-3.07
Ag7 0.2440 0.2440 0.2680  3 Au 2.82, 6 Ag 2.87-3.07
Au6 0.6304 0.9406 0.1142  1 Mg 2.74, 3 Au 2.79-2.96, 4 Ag 2.80-2.87
Ag8 0.1425 0.4277 0.6116  4 Au 2.80-3.14, 5 Ag 2.86-3.07


No. 8
This record from Alexandria via LeMat-Bulk describes a geometry-optimized Tl2TcH structure. The functional is PBE.

Properties
Its calculated density is 11941 kg/m3. Its space group is No. 122. For the calculated total energy, the calculation gives -3.71 eV/atom.

Unit cell a=6.7362 b=6.7362 c=5.6898 alpha=53.70 beta=53.70 gamma=90.00
Last column: nearest neighbours and their distance in Å.
Positions (direct):
Tc1 0.0000 0.0000 0.0000  8 Tl 2.83-3.13, 2 H 3.11
Tl1 0.8750 0.8077 0.7500  2 H 2.23
H1 0.2500 0.7500 0.5000  4 Tl 2.23
Tl2 0.1923 0.6250 0.2500  2 H 2.23
Tl3 0.3750 0.4423 0.7500  2 H 2.23
Tl4 0.5577 0.1250 0.2500  2 H 2.23
Tc2 0.7500 0.2500 0.5000  8 Tl 2.83-3.13, 2 H 3.11
H2 0.5000 0.5000 0.0000  4 Tl 2.23